1.
Density functional theory data (PBE-GGA) for a geometry-optimized SrHg2Bi structure.

Unit cell a=7.3372 b=7.3372 c=7.3372 alpha=54.73 beta=141.95 gamma=142.19
Atoms (fractional coordinates):
Sr 0.0000 0.0000 0.0000
Hg 0.0000 0.2645 0.2645
Hg 0.0000 0.7355 0.7355
Bi 0.0000 0.5000 0.5000

## Properties
**Volume**: 37.05 A^3/atom
**Formation enthalpy at 0 K**: -0.2587 eV/atom
**Density of states at the Fermi level**: 4.40 states/eV/cell
**Space group**: Immm, No. 71



2.
Density functional theory data (PBE-GGA) for a geometry-optimized SrHg3Bi structure.

Unit cell a=7.2797 b=7.5893 c=10.9247 alpha=89.91 beta=90.00 gamma=90.00
Atoms (fractional coordinates):
Sr 0.2181 0.2634 0.3652
Sr 0.7819 0.7366 0.6348
Sr 0.7181 0.7366 0.1348
Sr 0.2819 0.2634 0.8652
Hg 0.0396 0.8167 0.3743
Hg 0.9604 0.1833 0.6257
Hg 0.5396 0.1833 0.1257
Hg 0.4604 0.8167 0.8743
Hg 0.9283 0.3332 0.1249
Hg 0.0717 0.6668 0.8751
Hg 0.4283 0.6668 0.3751
Hg 0.5717 0.3332 0.6249
Hg 0.2926 0.5385 0.1150
Hg 0.7074 0.4615 0.8850
Hg 0.7926 0.4615 0.3850
Hg 0.2074 0.5385 0.6150
Bi 0.8458 0.0418 0.8972
Bi 0.1542 0.9582 0.1028
Bi 0.3458 0.9582 0.6028
Bi 0.6542 0.0418 0.3972

## Properties
**Polymorph energy (0 for the lowest one)**: 0.0000 eV per atom
**Volume**: 30.18 A^3/atom
**Formation enthalpy at 0 K**: -0.3289 eV/atom
**Density of states at the Fermi level**: 7.74 states/eV/cell
**Space group**: P2_1/c, No. 14



3.
Density functional theory data (PBE-GGA) for a geometry-optimized SrHgBi2 structure.

Unit cell a=4.2286 b=4.2286 c=9.3348 alpha=76.91 beta=76.91 gamma=60.00
Atoms (fractional coordinates):
Sr 0.5000 0.5000 0.5000
Bi 0.2628 0.2628 0.2115
Bi 0.7372 0.7372 0.7885
Hg 0.0000 0.0000 0.0000

## Properties
**Volume**: 34.88 A^3/atom
**Formation enthalpy at 0 K**: -0.1230 eV/atom
**Density of states at the Fermi level**: 2.06 states/eV/cell
**Space group**: R-3m, No. 166



4.
Density functional theory data (PBE-GGA) for a geometry-optimized Sr2HgBi4 structure.

Unit cell a=6.7710 b=6.7710 c=7.1814 alpha=118.13 beta=118.13 gamma=89.99
Atoms (fractional coordinates):
Sr 0.2858 0.7855 0.5714
Sr 0.7855 0.2858 0.5714
Hg 0.7858 0.7858 0.5716
Bi 0.7859 0.7859 0.0717
Bi 0.2856 0.2856 0.0712
Bi 0.7856 0.2857 0.0714
Bi 0.2857 0.7856 0.0714

## Properties
**Volume**: 35.05 A^3/atom
**Formation enthalpy at 0 K**: -0.4731 eV/atom
**Density of states at the Fermi level**: 4.74 states/eV/cell
**Space group**: I4/mmm, No. 139



5.
Density functional theory data (PBE-GGA) for a geometry-optimized SrHg14Bi structure.

Unit cell a=6.8247 b=6.8247 c=10.8353 alpha=90.00 beta=90.00 gamma=115.75
Atoms (fractional coordinates):
Sr 0.6737 0.3263 0.0000
Hg 0.6345 0.3655 0.5000
Hg 0.1235 0.8765 0.5000
Hg 0.1559 0.2560 0.0000
Hg 0.1281 0.3647 0.5000
Hg 0.7440 0.8441 0.0000
Hg 0.6353 0.8719 0.5000
Hg 0.3342 0.1692 0.7450
Hg 0.3342 0.1692 0.2550
Hg 0.8308 0.6658 0.7450
Hg 0.8308 0.6658 0.2550
Hg 0.8343 0.1657 0.7402
Hg 0.8343 0.1657 0.2598
Hg 0.3295 0.6705 0.7267
Hg 0.3295 0.6705 0.2733
Bi 0.2473 0.7527 0.0000

## Properties
**Volume**: 28.41 A^3/atom
**Formation enthalpy at 0 K**: -0.0890 eV/atom
**Density of states at the Fermi level**: 4.41 states/eV/cell
**Space group**: Amm2, No. 38



6.
Density functional theory data (PBE-GGA) for a geometry-optimized Sr2Hg2Bi structure.

Unit cell a=4.8381 b=6.8989 c=11.3089 alpha=88.26 beta=77.65 gamma=69.47
Atoms (fractional coordinates):
Sr 0.7080 0.2120 0.3720
Sr 0.9092 0.2747 0.9069
Sr 0.2920 0.7880 0.6280
Sr 0.0908 0.7253 0.0931
Hg 0.9640 0.4441 0.6280
Hg 0.6597 0.8020 0.8787
Hg 0.0360 0.5559 0.3720
Hg 0.3403 0.1980 0.1213
Bi 0.5745 0.1608 0.6901
Bi 0.4255 0.8392 0.3099

## Properties
**Polymorph energy (0 for the lowest one)**: 0.0000 eV per atom
**Volume**: 34.49 A^3/atom
**Formation enthalpy at 0 K**: -0.5700 eV/atom
**Density of states at the Fermi level**: 4.91 states/eV/cell
**Space group**: C2/m, No. 12



7.
Density functional theory data (PBE-GGA) for a geometry-optimized Sr3Hg2Bi2 structure.

Unit cell a=4.8132 b=4.7689 c=11.2522 alpha=102.23 beta=102.35 gamma=90.00
Atoms (fractional coordinates):
Sr 0.0000 0.0000 0.0000
Sr 0.1819 0.6819 0.3638
Sr 0.8181 0.3181 0.6362
Hg 0.5650 0.5650 0.1300
Hg 0.4350 0.4350 0.8700
Bi 0.6554 0.1554 0.3107
Bi 0.3446 0.8446 0.6893

## Properties
**Volume**: 35.18 A^3/atom
**Formation enthalpy at 0 K**: -0.6409 eV/atom
**Density of states at the Fermi level**: 2.07 states/eV/cell
**Space group**: Immm, No. 71



8.
Density functional theory data (PBE-GGA) for a geometry-optimized SrHg2Bi2 structure.

Unit cell a=4.4364 b=8.0328 c=12.8874 alpha=132.14 beta=90.00 gamma=90.00
Atoms (fractional coordinates):
Sr 0.7500 0.4997 0.2706
Sr 0.2500 0.5003 0.7294
Hg 0.7500 0.6734 0.5968
Hg 0.2500 0.3266 0.4032
Hg 0.7500 0.3638 0.8628
Hg 0.2500 0.6362 0.1372
Bi 0.7500 0.0145 0.9216
Bi 0.2500 0.9855 0.0784
Bi 0.7500 0.0784 0.4512
Bi 0.2500 0.9216 0.5488

## Properties
**Polymorph energy (0 for the lowest one)**: 0.0000 eV per atom
**Volume**: 34.06 A^3/atom
**Formation enthalpy at 0 K**: -0.3176 eV/atom
**Density of states at the Fermi level**: 1.76 states/eV/cell
**Space group**: P2_1/m, No. 11